1.
A plane-wave DFT calculation with PBE was carried out for crystalline AcNdHoAl at its relaxed geometry.

## Properties
DOS at the Fermi energy = 1.7591 states/eV per atom
Energy relative to the elements = 68 meV/atom
Electronic total energy = -4.232 eV per atom

a = 7.8675 Å, b = 7.8675 Å, c = 7.8675 Å
α = 90.00°, β = 90.00°, γ = 90.00°
Last column: nearest neighbours and their distance in Å.
Space group F-43m (No. 216)
Symmetry-distinct sites (fractional):
Ac  0.0000  0.0000  0.0000 x4  4 Nd 3.41, 4 Ho 3.41
Nd  0.2500  0.2500  0.7500 x4  4 Ac 3.41, 4 Al 3.41
Ho  0.2500  0.2500  0.2500 x4  4 Ac 3.41, 4 Al 3.41
Al  0.0000  0.0000  0.5000 x4  4 Ho 3.41, 4 Nd 3.41

---

2.
A plane-wave DFT calculation with PBE was carried out for crystalline Ac3HoAl2O9 at its relaxed geometry.

## Properties
DOS at the Fermi energy = 0.0000 states/eV per atom
Raw formation energy = -3267 meV/atom
Electronic total energy = -7.868 eV per atom

a = 5.6601 Å, b = 5.6601 Å, c = 7.0925 Å
α = 90.00°, β = 90.00°, γ = 120.00°
Last column: nearest neighbours and their distance in Å.
Space group P-3m1 (No. 164)
Symmetry-distinct sites (fractional):
Ac  0.0000  0.0000  0.0000 x1  12 O 2.80-2.83
Ac  0.3333  0.6667  0.6942 x2  9 O 2.72-2.83
Ho  0.0000  0.0000  0.5000 x1  6 O 2.18
Al  0.3333  0.6667  0.1637 x2  6 O 1.87-2.00
O  0.0000  0.5000  0.0000 x3  2 Al 2.00
O  0.1752  0.3503  0.3110 x6  1 Al 1.87

---

3.
A plane-wave DFT calculation with PBE was carried out for crystalline Ac2HoAlO6 at its relaxed geometry.

## Properties
DOS at the Fermi energy = 0.0000 states/eV per atom
Raw formation energy = -3178 meV/atom
Electronic total energy = -7.806 eV per atom

a = 4.1942 Å, b = 4.1942 Å, c = 8.0290 Å
α = 90.00°, β = 90.00°, γ = 90.00°
Last column: nearest neighbours and their distance in Å.
Space group P4/mmm (No. 123)
Symmetry-distinct sites (fractional):
Ac  0.0000  0.0000  0.2350 x2  12 O 2.82-2.99
Ho  0.5000  0.5000  0.5000 x1  6 O 2.10-2.21
Al  0.5000  0.5000  0.0000 x1  2 O 1.80
O  0.0000  0.5000  0.0000 x2  2 Al 2.10
O  0.0000  0.5000  0.5000 x2  2 Ho 2.10
O  0.5000  0.5000  0.2242 x2  1 Al 1.80

---

4.
A plane-wave DFT calculation with PBE was carried out for crystalline AcHoAlPd at its relaxed geometry.

## Properties
DOS at the Fermi energy = 0.9747 states/eV per atom
Energy relative to the elements = -433 meV/atom
Electronic total energy = -4.838 eV per atom

a = 7.4772 Å, b = 7.4772 Å, c = 7.4772 Å
α = 90.00°, β = 90.00°, γ = 90.00°
Last column: nearest neighbours and their distance in Å.
Space group F-43m (No. 216)
Symmetry-distinct sites (fractional):
Ac  0.0000  0.0000  0.0000 x4  4 Al 3.24, 4 Pd 3.24
Ho  0.0000  0.0000  0.5000 x4  4 Al 3.24, 4 Pd 3.24
Al  0.2500  0.2500  0.7500 x4  4 Ac 3.24, 4 Ho 3.24
Pd  0.2500  0.2500  0.2500 x4  4 Ac 3.24, 4 Ho 3.24

---

5.
A plane-wave DFT calculation with PBE was carried out for crystalline AcHo2AlPd4 at its relaxed geometry.

## Properties
DOS at the Fermi energy = 0.5667 states/eV per atom
Energy relative to the elements = -821 meV/atom
Electronic total energy = -5.543 eV per atom

a = 4.7547 Å, b = 4.7547 Å, c = 26.8967 Å
α = 90.00°, β = 90.00°, γ = 120.00°
Last column: nearest neighbours and their distance in Å.
Space group R-3m (No. 166, hexagonal axes)
Symmetry-distinct sites (fractional):
Ac  0.0000  0.0000  0.0000 x3  8 Pd 3.30-3.59
Ho  0.0000  0.0000  0.2363 x6  7 Pd 2.77-2.91
Al  0.0000  0.0000  0.5000 x3  8 Pd 2.65-2.89
Pd  0.0000  0.0000  0.1333 x6  4 Ho 2.77-2.91, 3 Al 2.89
Pd  0.0000  0.0000  0.4014 x6  1 Al 2.65, 3 Ho 2.85

---

6.
A plane-wave DFT calculation with PBE was carried out for crystalline Ac2HoAl4Pd3 at its relaxed geometry.

## Properties
DOS at the Fermi energy = 1.1395 states/eV per atom
Energy relative to the elements = -650 meV/atom
Electronic total energy = -4.985 eV per atom

a = 4.3904 Å, b = 4.3904 Å, c = 11.8627 Å
α = 90.00°, β = 90.00°, γ = 90.00°
Last column: nearest neighbours and their distance in Å.
Space group P-4m2 (No. 115)
Symmetry-distinct sites (fractional):
Ac  0.0000  0.5000  0.2284 x2  8 Al 3.35-3.49, 4 Pd 3.37
Ho  0.0000  0.0000  0.5000 x1  4 Al 2.94, 4 Pd 3.10
Al  0.0000  0.0000  0.0000 x1  4 Pd 2.60
Al  0.0000  0.5000  0.6652 x2  1 Pd 2.58
Al  0.5000  0.5000  0.0000 x1  4 Pd 2.60
Pd  0.0000  0.5000  0.8825 x2  5 Al 2.58-2.60
Pd  0.5000  0.5000  0.5000 x1  4 Al 2.94, 4 Ho 3.10